First-principles (PBE) data for a geometry-optimized AcHfCu structure, as listed in Alexandria.

Computed properties:
formation energy from the elements: 0.922 eV/f.u.
symmetry: Amm2 (38)

Geometry as POSCAR:
```
AcHfCu
1.0
3.7161 0.0000 0.0000
-1.8580 3.2293 0.0000
0.0000 0.0000 13.2996
Cu Hf Ac
2 2 2
Direct
0.2783 0.5566 0.5000 Cu
0.6109 0.2218 0.0000 Cu
0.2781 0.5563 0.1194 Hf
0.2781 0.5563 0.8806 Hf
0.6106 0.2211 0.6740 Ac
0.6106 0.2211 0.3260 Ac
```